{
  "formula": "PrZrSc2",
  "functional": "PBE",
  "state": "relaxed",
  "lattice_angstrom": [[-1.6873, 4.9588, -0.7303], [-4.7149, 1.4920, 1.8745], [-0.2828, 3.3279, 4.1006]],
  "species": ["Pr", "Sc", "Sc", "Zr"],
  "fractional_positions": [[0.0000, 0.0000, 0.0000], [0.2500, 0.2500, 0.2500], [0.7500, 0.7500, 0.7500], [0.5000, 0.5000, 0.5000]],
  "delta_e_f_ev_per_atom": 0.14,
  "spacegroup": "Fm-3m (225)",
  "dft_energy_ev_per_atom": -6.357,
  "relative_energy_kj_per_mol_atoms": 8.1
}


{
  "formula": "Pr12Zr3Sc5",
  "functional": "PBE",
  "state": "relaxed",
  "lattice_angstrom": [[-7.5110, -11.2712, -8.0103], [15.5387, -1.8717, -1.6322], [-3.8266, -0.9534, 15.2338]],
  "species": ["Zr", "Zr", "Zr", "Zr", "Zr", "Zr", "Zr", "Zr", "Zr", "Zr", "Zr", "Zr", "Sc", "Sc", "Sc", "Sc", "Sc", "Sc", "Sc", "Sc", "Sc", "Sc", "Sc", "Sc", "Sc", "Sc", "Sc", "Sc", "Sc", "Sc", "Sc", "Sc", "Pr", "Pr", "Pr", "Pr", "Pr", "Pr", "Pr", "Pr", "Pr", "Pr", "Pr", "Pr", "Pr", "Pr", "Pr", "Pr", "Pr", "Pr", "Pr", "Pr", "Pr", "Pr", "Pr", "Pr", "Pr", "Pr", "Pr", "Pr", "Pr", "Pr", "Pr", "Pr", "Pr", "Pr", "Pr", "Pr", "Pr", "Pr", "Pr", "Pr", "Pr", "Pr", "Pr", "Pr", "Pr", "Pr", "Pr", "Pr"],
  "fractional_positions": [[0.7500, 0.3750, 0.1250], [0.8750, 0.7500, 0.1250], [0.3750, 0.7500, 0.6250], [0.2500, 0.1250, 0.3750], [0.8750, 0.1250, 0.2500], [0.3750, 0.6250, 0.2500], [0.6250, 0.3750, 0.7500], [0.1250, 0.8750, 0.7500], [0.7500, 0.8750, 0.6250], [0.6250, 0.2500, 0.3750], [0.1250, 0.2500, 0.8750], [0.2500, 0.6250, 0.8750], [0.1250, 0.3750, 0.2500], [0.0000, 0.5000, 0.0000], [0.0000, 0.0000, 0.0000], [0.3750, 0.2500, 0.1250], [0.5000, 0.0000, 0.5000], [0.5000, 0.5000, 0.0000], [0.1250, 0.7500, 0.3750], [0.7500, 0.1250, 0.8750], [0.7500, 0.6250, 0.3750], [0.3750, 0.1250, 0.7500], [0.6250, 0.8750, 0.2500], [0.5000, 0.5000, 0.5000], [0.5000, 0.0000, 0.0000], [0.0000, 0.0000, 0.5000], [0.2500, 0.3750, 0.6250], [0.2500, 0.8750, 0.1250], [0.0000, 0.5000, 0.5000], [0.8750, 0.2500, 0.6250], [0.6250, 0.7500, 0.8750], [0.8750, 0.6250, 0.7500], [0.7323, 0.1288, 0.0669], [0.3345, 0.5669, 0.4381], [0.9331, 0.3712, 0.2677], [0.5669, 0.2323, 0.1288], [0.6035, 0.7323, 0.6655], [0.9331, 0.5619, 0.1655], [0.3345, 0.7677, 0.3965], [0.0619, 0.8965, 0.1288], [0.5619, 0.9331, 0.6655], [0.7323, 0.6035, 0.1655], [0.7677, 0.4331, 0.3712], [0.8345, 0.9381, 0.0669], [0.1288, 0.7323, 0.5669], [0.3712, 0.4381, 0.1035], [0.1035, 0.9381, 0.3712], [0.3965, 0.1288, 0.5619], [0.1035, 0.1655, 0.2323], [0.4331, 0.6655, 0.0619], [0.8345, 0.8965, 0.2677], [0.1288, 0.3965, 0.0619], [0.3712, 0.9331, 0.7677], [0.5619, 0.6288, 0.3965], [0.9381, 0.8345, 0.5669], [0.7677, 0.3345, 0.8965], [0.4381, 0.3712, 0.6035], [0.0619, 0.1655, 0.4331], [0.2323, 0.6655, 0.1035], [0.1655, 0.1035, 0.7323], [0.6288, 0.0669, 0.2323], [0.8712, 0.6035, 0.9381], [0.5669, 0.3345, 0.9381], [0.6035, 0.8712, 0.4381], [0.8965, 0.8345, 0.7677], [0.8965, 0.0619, 0.6288], [0.8712, 0.2677, 0.4331], [0.1655, 0.0619, 0.9331], [0.6288, 0.5619, 0.8965], [0.4381, 0.0669, 0.3345], [0.2677, 0.3965, 0.8345], [0.2323, 0.5669, 0.6288], [0.9381, 0.1035, 0.8712], [0.6655, 0.2323, 0.6035], [0.4331, 0.7677, 0.8712], [0.0669, 0.4381, 0.8345], [0.3965, 0.2677, 0.3345], [0.0669, 0.6288, 0.7323], [0.6655, 0.4331, 0.5619], [0.2677, 0.8712, 0.9331]],
  "delta_e_f_ev_per_atom": 1.01,
  "spacegroup": "Ia-3d (230)",
  "dft_energy_ev_per_atom": -4.724
}


{
  "formula": "PrZrSc2",
  "functional": "PBE",
  "state": "relaxed",
  "lattice_angstrom": [[-0.3023, -2.8171, -1.7905], [2.3571, -2.3743, 0.2007], [-4.6859, -6.3687, 7.6743]],
  "species": ["Pr", "Sc", "Sc", "Zr"],
  "fractional_positions": [[0.5000, 0.5000, 0.5000], [0.7437, 0.7437, 0.7688], [0.2563, 0.2563, 0.2312], [0.0000, 0.0000, 0.0000]],
  "delta_e_f_ev_per_atom": 0.08,
  "spacegroup": "R-3m (166)",
  "dft_energy_ev_per_atom": -6.419,
  "relative_energy_kj_per_mol_atoms": 2.1
}


{
  "formula": "PrZr2Sc",
  "functional": "PBE",
  "state": "relaxed",
  "lattice_angstrom": [[3.3116, 0.0000, 0.0000], [1.6558, 2.8679, 0.0000], [1.6558, 0.9560, 10.8957]],
  "species": ["Pr", "Zr", "Zr", "Sc"],
  "fractional_positions": [[0.4999, 0.4999, 0.5003], [0.0786, 0.0786, 0.7641], [0.2548, 0.2548, 0.2356], [0.6667, 0.6667, 0.0000]],
  "delta_e_f_ev_per_atom": 0.15,
  "spacegroup": "R3m (160)",
  "dft_energy_ev_per_atom": -6.904,
  "relative_energy_kj_per_mol_atoms": 1.2
}